Record 1
## TlCdGaHg2 (PBE)

Data for an optimized crystal structure of TlCdGaHg2.

a b c (Å): 5.285 5.285 5.734
angles (deg): 90.00 90.00 90.00
Space group P4/mmm (No. 123)
Unique sites:
Tl  0.000  0.000  0.000 (multiplicity 1)
Cd  0.500  0.500  0.000 (multiplicity 1)
Ga  0.000  0.000  0.500 (multiplicity 1)
Hg  0.000  0.500  0.500 (multiplicity 2)

Summary:
energy above the lowest structure with this stoichiometry: 69 meV/atom
magnetic moment: 0.0 μB per formula unit
raw total energy: -1.22 eV/atom
density of states at the Fermi level: 2.21 states/eV/cell

Record 2
## MgCu2P (PBE)

Data for an optimized crystal structure of MgCu2P.

a b c (Å): 3.765 3.765 3.891
angles (deg): 90.00 90.00 90.00
Space group P4/mmm (No. 123)
Unique sites:
Mg  0.000  0.000  0.000 (multiplicity 1)
Cu  0.000  0.500  0.500 (multiplicity 2)
P  0.500  0.500  0.000 (multiplicity 1)

Summary:
magnetic moment: 0.0 μB per formula unit
raw total energy: -3.91 eV/atom
density of states at the Fermi level: 1.05 states/eV/cell

Record 3
## CeDy2ErTm5 (PBE)

Data for an optimized crystal structure of CeDy2ErTm5.

a b c (Å): 5.619 21.227 9.461
angles (deg): 90.00 90.00 90.00
Space group Cmc2_1 (No. 36)
Unique sites:
Ce  0.000  0.192  0.000 (multiplicity 4)
Dy  0.000  0.113  0.302 (multiplicity 4)
Dy  0.000  0.134  0.688 (multiplicity 4)
Er  0.000  0.403  0.409 (multiplicity 4)
Tm  0.000  0.014  0.993 (multiplicity 4)
Tm  0.000  0.266  0.314 (multiplicity 4)
Tm  0.000  0.307  0.695 (multiplicity 4)
Tm  0.000  0.394  0.024 (multiplicity 4)
Tm  0.000  0.472  0.726 (multiplicity 4)

Summary:
magnetic moment: 0.5 μB per formula unit
raw total energy: -4.50 eV/atom
density of states at the Fermi level: 60.34 states/eV/cell

Record 4
## Nd2Y4Th (PBE)

Data for an optimized crystal structure of Nd2Y4Th.

a b c (Å): 3.5886 3.5886 63.3438
angles (deg): 90.00 90.00 120.00
Space group R-3m (No. 166, hexagonal axes)
Unique sites:
Nd  0.0000  0.0000  0.2352 (multiplicity 6)
Y  0.0000  0.0000  0.1436 (multiplicity 6)
Y  0.0000  0.0000  0.2896 (multiplicity 6)
Th  0.0000  0.0000  0.0000 (multiplicity 3)

Summary:
energy above the lowest structure with this stoichiometry: 48 meV/atom
magnetic moment: 0.0 μB per formula unit
raw total energy: -6.04 eV/atom
density of states at the Fermi level: 29.89 states/eV/cell

Formation energy values, unit eV per atom, following the record order: 0.16 -0.11 0.17 0.07.